# 1
LiCaZnSi, optimized geometry, DFT PBE-GGA; Fermi-level density of states = 2.6 states/eV/f.u.; formation energy without anion corrections = -0.688 eV per formula unit; symmetry = No. 216
1.0
-1.350 -3.511 -2.974
2.449 -0.788 -4.047
2.699 -3.939 -0.440
Zn Si Ca Li
1 1 1 1
Cartesian
2.849 -6.179 -5.595 Zn
0.950 -2.060 -1.865 Si
0.000 0.000 0.000 Ca
1.899 -4.119 -3.730 Li

***

# 2
TbTmCuPt, optimized geometry, DFT PBE-GGA; Fermi-level density of states = 2.5 states/eV/f.u.; symmetry = No. 216; formation enthalpy at 0 K = -3.2 eV/f.u.; distance to the lowest polymorph of the same formula = 0.130 eV/f.u.
1.0
-3.866 -2.433 1.775
-1.695 -3.955 -2.347
0.595 -4.453 1.958
Tm Tb Cu Pt
1 1 1 1
Cartesian
-2.483 -5.421 0.693 Tm
0.000 0.000 0.000 Tb
-1.241 -2.710 0.347 Cu
-3.724 -8.131 1.040 Pt

***

# 3
NaBeH, optimized geometry, DFT PBE-GGA; Fermi-level density of states = 0.3 states/eV/f.u.; symmetry = No. 8; distance to the lowest polymorph of the same formula = 0.119 eV/f.u.
1.0
-2.705 3.011 -0.228
-0.088 -0.434 -4.702
-6.810 -6.089 0.690
Na Be H
4 4 4
Cartesian
-2.551 0.666 -0.014 Na
-6.000 -2.595 -2.020 Na
-5.573 -4.741 0.542 Na
-2.212 -1.914 -2.153 Na
-4.054 -1.990 0.260 Be
-7.503 -5.252 -1.746 Be
-5.385 -0.510 0.148 Be
-8.834 -3.772 -1.858 Be
-4.524 -1.156 -0.872 H
-4.572 -1.396 -3.466 H
-7.973 -4.418 -2.877 H
-7.933 -4.223 -0.770 H

***

# 4
Ca2ZnPd2, optimized geometry, DFT PBE-GGA; Fermi-level density of states = 1.9 states/eV/f.u.; symmetry = No. 15; formation enthalpy at 0 K = -3.4 eV/f.u.
1.0
5.727 0.220 0.156
2.784 5.009 0.156
1.454 0.893 7.819
Ca Zn Pd
4 2 4
Cartesian
3.609 1.301 1.281 Ca
6.446 3.044 2.941 Ca
6.355 4.822 6.850 Ca
3.518 3.078 5.190 Ca
3.537 4.598 2.111 Zn
6.427 1.524 6.020 Zn
4.959 0.636 4.067 Pd
7.882 2.432 7.974 Pd
5.005 5.486 4.064 Pd
2.082 3.690 0.157 Pd

***

# 5
Ba2TlCd6Rh, optimized geometry, DFT PBE-GGA; Fermi-level density of states = 7.0 states/eV/f.u.; symmetry = No. 166; formation enthalpy at 0 K = -2.1 eV/f.u.
1.0
-4.771 -5.279 -1.355
0.736 -6.456 3.200
-8.669 0.164 10.522
Ba Tl Cd Rh
4 2 12 2
Cartesian
-6.373 -10.434 5.008 Ba
-6.331 -1.137 7.359 Ba
-10.172 -8.319 10.148 Ba
-2.531 -3.252 2.219 Ba
-4.737 -6.684 3.999 Tl
-7.967 -4.887 8.368 Tl
-7.818 -6.925 4.222 Cd
-4.529 -7.628 6.943 Cd
-4.969 -3.772 5.032 Cd
-4.886 -4.646 8.145 Cd
-8.175 -3.943 5.424 Cd
-7.735 -7.799 7.336 Cd
-10.832 -4.693 9.418 Cd
-8.476 -5.197 11.367 Cd
-8.791 -2.434 9.998 Cd
-1.871 -6.878 2.949 Cd
-4.228 -6.374 1.000 Cd
-3.913 -9.137 2.369 Cd
0.000 0.000 0.000 Rh
-6.352 -5.785 6.184 Rh

***

# 6
EuSc2H, optimized geometry, DFT PBE-GGA; Fermi-level density of states = 5.1 states/eV/f.u.; final energy = -0.48390 Ry per atom; symmetry = No. 166
1.0
-3.225 -0.523 0.584
-1.091 -3.065 0.658
-0.080 0.199 9.164
Eu Sc H
1 2 1
Cartesian
0.000 0.000 0.000 Eu
-0.577 -0.311 5.962 Sc
-3.819 -3.077 4.445 Sc
-2.198 -1.694 5.203 H

***

- The highest Fermi-level density of states belongs to which entry?
  Ba2TlCd6Rh

***

Copy entry 4 word for word.
Ca2ZnPd2, optimized geometry, DFT PBE-GGA; Fermi-level density of states = 1.9 states/eV/f.u.; symmetry = No. 15; formation enthalpy at 0 K = -3.4 eV/f.u.
1.0
5.727 0.220 0.156
2.784 5.009 0.156
1.454 0.893 7.819
Ca Zn Pd
4 2 4
Cartesian
3.609 1.301 1.281 Ca
6.446 3.044 2.941 Ca
6.355 4.822 6.850 Ca
3.518 3.078 5.190 Ca
3.537 4.598 2.111 Zn
6.427 1.524 6.020 Zn
4.959 0.636 4.067 Pd
7.882 2.432 7.974 Pd
5.005 5.486 4.064 Pd
2.082 3.690 0.157 Pd